# 1
Compound: HfTc
Source: OQMD
Functional: PBE
Structure: relaxed

POSCAR file:
```
HfTc
1.0
5.3717 0.0000 0.0000
0.0000 5.3717 0.0000
0.0000 0.0000 5.3717
Hf Tc
4 4
direct
0.0000 0.0000 0.0000
0.0000 0.5000 0.5000
0.5000 0.0000 0.5000
0.5000 0.5000 0.0000
0.0000 0.0000 0.5000
0.0000 0.5000 0.0000
0.5000 0.0000 0.0000
0.5000 0.5000 0.5000
```

Properties
The value obtained for the energy of formation is 0.53 eV per atom. The space-group type is Fm-3m. The magnetization is 0.1384 μB/atom. For the total energy, the calculation gives -9.63 eV per atom.

=====

# 2
Compound: Al2CoBi
Source: OQMD
Functional: PBE
Structure: relaxed

POSCAR file:
```
Al2CoBi
1.0
6.5980 0.0000 0.0000
0.0000 6.5980 0.0000
0.0000 0.0000 6.5980
Al Co Bi
8 4 4
direct
0.0000 0.0000 0.0000
0.0000 0.5000 0.5000
0.2500 0.2500 0.2500
0.2500 0.7500 0.7500
0.5000 0.0000 0.5000
0.5000 0.5000 0.0000
0.7500 0.2500 0.7500
0.7500 0.7500 0.2500
0.2500 0.2500 0.7500
0.2500 0.7500 0.2500
0.7500 0.2500 0.2500
0.7500 0.7500 0.7500
0.0000 0.0000 0.5000
0.0000 0.5000 0.0000
0.5000 0.0000 0.0000
0.5000 0.5000 0.5000
```

Properties
The space-group type is F-43m. The magnetization is 0.0004 μB/atom. For the total energy, the calculation gives -4.26 eV per atom.

=====

# 3
Compound: Cs2GdYTe4
Source: OQMD
Functional: PBE
Structure: relaxed

POSCAR file:
```
Cs2GdYTe4
1.0
4.5655 0.0000 0.0000
-2.2828 3.9539 0.0000
0.0000 0.0000 17.8242
Cs Gd Y Te
2 1 1 4
direct
0.3333 0.6667 0.2505
0.6667 0.3333 0.7495
0.0000 0.0000 0.0000
0.0000 0.0000 0.5000
0.3333 0.6667 0.5949
0.3333 0.6667 0.9038
0.6667 0.3333 0.0962
0.6667 0.3333 0.4051
```

Properties
The space-group type is P-3m1. The magnetization is 0.0007 μB/atom. For the total energy, the calculation gives -4.58 eV per atom.

=====

# 4
Compound: Ho2Si2C3
Source: OQMD
Functional: PBE
Structure: relaxed

POSCAR file:
```
Ho2Si2C3
1.0
11.3200 0.0000 0.0000
0.0000 3.2677 0.0000
-1.0729 0.0000 5.0170
Ho Si C
4 4 6
direct
0.1578 0.0000 0.2090
0.3422 0.5000 0.7910
0.6578 0.5000 0.2090
0.8422 0.0000 0.7910
0.0763 0.5000 0.7117
0.4237 0.0000 0.2883
0.5763 0.0000 0.7117
0.9237 0.5000 0.2883
0.0000 0.5000 0.0000
0.1706 0.0000 0.7131
0.3294 0.5000 0.2869
0.5000 0.0000 0.0000
0.6706 0.5000 0.7131
0.8294 0.0000 0.2869
```

Properties
The space-group type is C2/m. The magnetization is 0.0001 μB/atom. For the total energy, the calculation gives -7.13 eV per atom.

=====

# 5
Compound: SrHgSeO
Source: OQMD
Functional: PBE
Structure: relaxed

POSCAR file:
```
SrHgSeO
1.0
6.2746 0.0000 0.0000
0.0000 9.9631 0.0000
0.0000 0.0000 6.2095
Sr Hg Se O
4 4 4 4
direct
0.0007 0.1833 0.0000
0.4993 0.1833 0.5000
0.5007 0.8167 0.0000
0.9993 0.8167 0.5000
0.0428 0.4027 0.4753
0.4572 0.4027 0.9753
0.5428 0.5973 0.4753
0.9572 0.5973 0.9753
0.0030 0.8559 0.0002
0.4970 0.8559 0.5002
0.5030 0.1441 0.0002
0.9970 0.1441 0.5002
0.0761 0.4066 0.0686
0.4239 0.4066 0.5686
0.5761 0.5934 0.0686
0.9239 0.5934 0.5686
```

Properties
The space-group type is Pca2_1. For the total energy, the calculation gives -3.85 eV per atom. The calculation puts the energy relative to the lowest polymorph listed for this composition at 159 meV per atom.

=====

# 6
Compound: GdTc
Source: OQMD
Functional: PBE
Structure: relaxed

POSCAR file:
```
GdTc
1.0
5.7372 0.0000 0.0000
0.0000 5.7372 0.0000
0.0000 0.0000 5.7372
Gd Tc
4 4
direct
0.0000 0.0000 0.0000
0.0000 0.5000 0.5000
0.5000 0.0000 0.5000
0.5000 0.5000 0.0000
0.0000 0.0000 0.5000
0.0000 0.5000 0.0000
0.5000 0.0000 0.0000
0.5000 0.5000 0.5000
```

Properties
The value obtained for the energy of formation is 0.93 eV per atom. The space-group type is Fm-3m. The magnetization is 0.8134 μB/atom. For the total energy, the calculation gives -6.58 eV per atom.

=====

# 7
Compound: MoI4Br
Source: OQMD
Functional: PBE
Structure: relaxed

POSCAR file:
```
MoI4Br
1.0
6.9902 0.0000 0.0000
-3.4479 6.6665 0.0000
-0.1707 -3.7800 9.4971
Mo I Br
2 8 2
direct
0.1124 0.2206 0.2213
0.8876 0.7794 0.7787
0.0710 0.8127 0.5579
0.1202 0.6049 0.8450
0.2444 0.1909 0.9537
0.3260 0.0115 0.2538
0.6740 0.9885 0.7462
0.7556 0.8091 0.0463
0.8798 0.3951 0.1550
0.9290 0.1873 0.4421
0.4422 0.5740 0.3298
0.5578 0.4260 0.6702
```

Properties
The space-group type is P-1. The magnetization is 0.1657 μB/atom. For the total energy, the calculation gives -3.28 eV per atom. The calculation puts the energy relative to the lowest polymorph listed for this composition at 2 meV per atom.

=====

# 8
Compound: ZrPb2Au
Source: OQMD
Functional: PBE
Structure: relaxed

POSCAR file:
```
ZrPb2Au
1.0
7.3429 0.0000 0.0000
0.0000 7.3429 0.0000
0.0000 0.0000 7.3429
Zr Pb Au
4 8 4
direct
0.0000 0.0000 0.0000
0.0000 0.5000 0.5000
0.5000 0.0000 0.5000
0.5000 0.5000 0.0000
0.0000 0.0000 0.5000
0.0000 0.5000 0.0000
0.2500 0.2500 0.7500
0.2500 0.7500 0.2500
0.5000 0.0000 0.0000
0.5000 0.5000 0.5000
0.7500 0.2500 0.2500
0.7500 0.7500 0.7500
0.2500 0.2500 0.2500
0.2500 0.7500 0.7500
0.7500 0.2500 0.7500
0.7500 0.7500 0.2500
```

Properties
The space-group type is F-43m. The magnetization is 0.0027 μB/atom. For the total energy, the calculation gives -4.68 eV per atom.

=====

# 9
Compound: Y3Mg3CdPd2
Source: OQMD
Functional: PBE
Structure: relaxed

POSCAR file:
```
Y3Mg3CdPd2
1.0
7.5766 0.0000 0.0000
-3.7883 6.5616 0.0000
0.0000 0.0000 4.1261
Y Mg Cd Pd
3 3 1 2
direct
0.0000 0.5789 0.0000
0.4211 0.4211 0.0000
0.5789 0.0000 0.0000
0.0000 0.2571 0.5000
0.2571 0.0000 0.5000
0.7429 0.7429 0.5000
0.0000 0.0000 0.0000
0.3333 0.6667 0.5000
0.6667 0.3333 0.5000
```

Properties
The space-group type is P-62m. The magnetization is 0.0054 μB/atom. For the total energy, the calculation gives -4.45 eV per atom.

=====

# 10
Compound: GaAgBAu
Source: OQMD
Functional: PBE
Structure: relaxed

POSCAR file:
```
GaAgBAu
1.0
6.3436 0.0000 0.0000
0.0000 6.3436 0.0000
0.0000 0.0000 6.3436
Ga Ag B Au
4 4 4 4
direct
0.0000 0.0000 0.0000
0.0000 0.5000 0.5000
0.5000 0.0000 0.5000
0.5000 0.5000 0.0000
0.0000 0.0000 0.5000
0.0000 0.5000 0.0000
0.5000 0.0000 0.0000
0.5000 0.5000 0.5000
0.2500 0.2500 0.7500
0.2500 0.7500 0.2500
0.7500 0.2500 0.2500
0.7500 0.7500 0.7500
0.2500 0.2500 0.2500
0.2500 0.7500 0.7500
0.7500 0.2500 0.7500
0.7500 0.7500 0.2500
```

Properties
The space-group type is F-43m. For the total energy, the calculation gives -3.16 eV per atom. The calculation puts the energy relative to the lowest polymorph listed for this composition at 42 meV per atom.

=====

# 11
Compound: In2Cu2SeS3
Source: OQMD
Functional: PBE
Structure: relaxed

POSCAR file:
```
In2Cu2SeS3
1.0
12.6826 0.0000 0.0000
0.0000 5.6549 0.0000
-2.4923 0.0000 5.0577
In Cu Se S
4 4 2 6
direct
0.1269 0.0000 0.3707
0.3731 0.5000 0.6293
0.6269 0.5000 0.3707
0.8731 0.0000 0.6293
0.1317 0.5197 0.8953
0.3683 0.0197 0.1047
0.6317 0.0197 0.8953
0.8683 0.5197 0.1047
0.0000 0.2917 0.5000
0.5000 0.7917 0.5000
0.0000 0.7267 0.0000
0.2499 0.2574 0.2224
0.2501 0.7574 0.7776
0.5000 0.2267 0.0000
0.7501 0.2574 0.7776
0.7499 0.7574 0.2224
```

Properties
The space-group type is C2. For the total energy, the calculation gives -4.07 eV per atom.

=====

# 12
Compound: AcNdMg
Source: OQMD
Functional: PBE
Structure: relaxed

POSCAR file:
```
AcNdMg
1.0
7.8356 0.0000 0.0000
0.0000 7.8356 0.0000
0.0000 0.0000 7.8356
Ac Nd Mg
4 4 4
direct
0.0000 0.0000 0.0000
0.0000 0.5000 0.5000
0.5000 0.0000 0.5000
0.5000 0.5000 0.0000
0.0000 0.0000 0.5000
0.0000 0.5000 0.0000
0.5000 0.0000 0.0000
0.5000 0.5000 0.5000
0.2500 0.2500 0.2500
0.2500 0.7500 0.7500
0.7500 0.2500 0.7500
0.7500 0.7500 0.2500
```

Properties
The space-group type is F-43m. The magnetization is 0.0677 μB/atom. For the total energy, the calculation gives -3.13 eV per atom. The calculation puts the energy relative to the lowest polymorph listed for this composition at 0 meV per atom.